NiRh5 | GGA-PBE | optimized geometry

Structure (CIF):
```
data_NiRh5
_chemical_formula_sum 'Ni1 Rh5'
_cell_length_a 4.646
_cell_length_b 2.711
_cell_length_c 6.568
_cell_angle_alpha 90.00
_cell_angle_beta 90.43
_cell_angle_gamma 90.00
_symmetry_space_group_name_H-M 'P 1 2/m 1'
_symmetry_Int_Tables_number 10
_symmetry_space_group_name_Hall '-P 2y'
loop_
_atom_site_label
_atom_site_fract_x
_atom_site_fract_y
_atom_site_fract_z
Ni1 0.000 0.000 0.000
Rh1 0.163 0.500 0.326
Rh2 0.332 0.000 0.666
Rh3 0.500 0.500 0.000
```

- crystal system = monoclinic
- formation energy from the elements (eV per atom) = 0.04